Record 1
PBE-GGA In2HgIr, relaxed; final energy = -3.449 eV/atom; space group = I4/mmm; DFT formation energy = 0.2105 eV/atom
1.0
-2.298 2.246 -4.010
-1.492 -3.862 -3.043
-0.837 0.684 5.023
In Hg Ir
2 1 1
Cartesian
-1.895 -0.808 -3.526 In
0.000 0.000 0.000 In
-2.112 -1.993 -0.773 Hg
-2.515 1.060 -1.256 Ir

---

Record 2
PBE-GGA In2HgIr, relaxed; final energy = -3.537 eV/atom; space group = R-3m; DFT formation energy = 0.1228 eV/atom
1.0
-4.569 -2.039 7.873
-2.418 -4.518 7.795
-1.536 -1.619 9.058
In Ir Hg
2 1 1
Cartesian
-4.344 -4.168 12.603 In
-8.440 -8.097 24.485 In
-2.131 -2.044 6.181 Ir
-6.392 -6.133 18.544 Hg

---

Record 3
PBE-GGA In3HgIr, relaxed; E above lowest polymorph = 15.3 kJ per mole of atoms; final energy = -3.452 eV/atom; space group = P6_3/mmc; DFT formation energy = 0.0234 eV/atom
1.0
-3.177 -3.261 1.716
4.728 -0.413 1.071
-1.506 6.230 9.055
In Hg Ir
6 2 2
Cartesian
-1.380 1.154 6.538 In
-1.129 4.673 6.791 In
-1.963 3.567 10.045 In
-0.376 1.558 2.264 In
1.425 1.401 5.303 In
2.008 -1.012 1.796 In
-0.918 -0.754 3.764 Hg
0.964 3.310 8.077 Hg
0.000 0.000 0.000 Ir
-0.753 3.115 4.527 Ir

---

Record 4
PBE-GGA InHg2Ir, relaxed; final energy = -2.652 eV/atom; space group = Cmmm; DFT formation energy = 0.3988 eV/atom
1.0
-1.762 2.583 -4.069
-0.791 -5.056 -0.382
-2.929 0.346 1.488
Hg Ir In
2 1 1
Cartesian
0.000 0.000 0.000 Hg
-1.276 -1.237 -2.225 Hg
-1.860 -2.355 0.553 Ir
-2.346 1.464 -1.290 In

---

Record 5
PBE-GGA InHgIr2, relaxed; E above lowest polymorph = 21.4 kJ per mole of atoms; final energy = -4.690 eV/atom; space group = F-43m; DFT formation energy = 0.5003 eV/atom
1.0
-2.172 2.920 2.877
-4.080 1.844 -1.213
-3.882 -1.333 2.162
Ir Hg In
2 1 1
Cartesian
0.000 0.000 0.000 Ir
-7.601 2.574 2.869 Ir
-5.067 1.716 1.913 Hg
-2.534 0.858 0.956 In

---

Record 6
PBE-GGA InHgIr, relaxed; E above lowest polymorph = 15.6 kJ per mole of atoms; final energy = -3.649 eV/atom; space group = P3m1; DFT formation energy = 0.3182 eV/atom
1.0
4.608 0.000 0.000
-2.304 3.990 0.000
0.000 0.000 3.193
Ir In Hg
1 1 1
Cartesian
2.304 1.330 1.778 Ir
0.000 2.660 1.433 In
0.000 0.000 3.175 Hg

---

Record 7
PBE-GGA InHgIr2, relaxed; E above lowest polymorph = 4.9 kJ per mole of atoms; final energy = -4.861 eV/atom; space group = C2/m; DFT formation energy = 0.3298 eV/atom
1.0
-2.602 -3.260 -2.456
-3.453 -3.365 0.424
-4.202 2.776 -1.142
Hg Ir In
1 2 1
Cartesian
-7.693 -2.887 -2.380 Hg
-6.060 -6.563 -2.031 Ir
-5.124 -1.987 -1.588 Ir
-2.564 -0.962 -0.793 In

---

Record 8
PBE-GGA In3HgIr, relaxed; E above lowest polymorph = 19.3 kJ per mole of atoms; final energy = -3.411 eV/atom; space group = P2_1/m; DFT formation energy = 0.0647 eV/atom
1.0
2.832 0.000 1.668
0.000 7.358 0.000
0.622 0.000 11.932
In Hg Ir
6 2 2
Cartesian
0.613 0.301 10.316 In
2.841 3.980 3.285 In
3.044 5.519 6.150 In
0.411 1.840 7.451 In
0.613 3.378 10.316 In
2.841 7.057 3.285 In
3.188 5.519 9.151 Hg
0.267 1.840 4.449 Hg
1.801 5.519 11.536 Ir
1.653 1.840 2.065 Ir

---

Record 9
PBE-GGA In3HgIr, relaxed; E above lowest polymorph = 0.0 kJ per mole of atoms; final energy = -3.611 eV/atom; space group = Pm-3m; DFT formation energy = -0.1353 eV/atom
1.0
-3.027 4.224 0.378
-0.629 -0.907 5.092
4.194 2.912 1.037
Hg In Ir
1 3 1
Cartesian
0.269 3.115 3.253 Hg
2.097 1.456 0.518 In
-1.513 2.112 0.189 In
-0.315 -0.453 2.546 In
0.000 0.000 0.000 Ir

---

Record 10
PBE-GGA In3HgIr, relaxed; E above lowest polymorph = 36.0 kJ per mole of atoms; final energy = -3.238 eV/atom; space group = Amm2; DFT formation energy = 0.2374 eV/atom
1.0
3.139 0.000 0.000
0.000 3.593 -8.373
0.000 3.593 8.373
In Hg Ir
3 1 1
Cartesian
1.569 1.454 1.149 In
1.569 5.732 1.149 In
0.000 3.593 4.045 In
1.569 3.593 6.778 Hg
0.000 3.593 1.482 Ir

---

Record 11
PBE-GGA In3HgIr, relaxed; E above lowest polymorph = 58.1 kJ per mole of atoms; final energy = -3.009 eV/atom; space group = Cmcm; DFT formation energy = 0.4665 eV/atom
1.0
3.081 -12.856 0.000
3.081 12.856 0.000
0.000 0.000 4.928
In Hg Ir
6 2 2
Cartesian
4.532 -5.331 1.232 In
1.630 -5.331 1.232 In
1.630 5.331 3.696 In
0.000 0.000 0.000 In
4.532 5.331 3.696 In
0.000 0.000 2.464 In
3.081 10.047 1.232 Hg
3.081 -10.047 3.696 Hg
3.081 -5.423 3.696 Ir
3.081 5.423 1.232 Ir

---

Record 12
PBE-GGA In3HgIr, relaxed; E above lowest polymorph = 14.6 kJ per mole of atoms; final energy = -3.460 eV/atom; space group = C2/c; DFT formation energy = 0.0161 eV/atom
1.0
-4.390 6.566 -6.944
3.466 0.686 -7.701
1.030 -8.125 -2.174
Hg In Ir
4 12 4
Cartesian
2.754 -1.519 -10.239 Hg
-1.267 4.785 -9.700 Hg
1.373 -5.657 -7.119 Hg
-2.647 0.647 -6.581 Hg
0.396 -0.431 -6.869 In
-0.289 -0.441 -9.950 In
0.484 0.368 -2.835 In
0.994 -3.162 -8.706 In
1.009 2.371 -11.083 In
-3.335 5.393 -6.968 In
1.476 -4.474 -3.727 In
-0.378 -1.240 -13.985 In
-0.888 2.290 -8.114 In
3.441 -6.265 -9.851 In
-1.369 3.602 -13.093 In
-0.903 -3.243 -5.737 In
2.255 -4.173 -11.040 Ir
-2.148 3.301 -5.780 Ir
-1.000 0.864 -12.184 Ir
1.106 -1.736 -4.636 Ir